## Ni5Mo2Pt2 (PBE)

Data for a relaxed structure of Ni5Mo2Pt2.

CIF file:
```
data_Ni5Mo2Pt2
_chemical_formula_sum 'Ni10 Mo4 Pt4'
_cell_length_a 11.187
_cell_length_b 3.760
_cell_length_c 5.902
_cell_angle_alpha 90.00
_cell_angle_beta 108.92
_cell_angle_gamma 90.00
_space_group_name_H-M_alt 'C 1 2/m 1'
_space_group_IT_number 12
loop_
_space_group_symop_operation_xyz
'x,y,z'
'-x,-y,-z'
'-x,y,-z'
'x,-y,z'
'x+1/2,y+1/2,z'
'-x+1/2,-y+1/2,-z'
'-x+1/2,y+1/2,-z'
'x+1/2,-y+1/2,z'
loop_
_atom_site_label
_atom_site_type_symbol
_atom_site_fract_x
_atom_site_fract_y
_atom_site_fract_z
Ni1 Ni 0.000 0.000 0.000
Ni2 Ni 0.163 0.500 0.007
Ni3 Ni 0.218 0.000 0.331
Mo1 Mo 0.063 0.500 0.323
Pt1 Pt 0.115 0.000 0.675
```


## NiMo2Pt (PBE)

Data for a relaxed structure of NiMo2Pt.

CIF file:
```
data_NiMo2Pt
_chemical_formula_sum 'Ni1 Mo2 Pt1'
_cell_length_a 3.780
_cell_length_b 3.780
_cell_length_c 4.052
_cell_angle_alpha 90.00
_cell_angle_beta 90.00
_cell_angle_gamma 90.00
_space_group_name_H-M_alt 'P 4/m m m'
_space_group_IT_number 123
_space_group_name_Hall '-P 4 2'
loop_
_atom_site_label
_atom_site_type_symbol
_atom_site_fract_x
_atom_site_fract_y
_atom_site_fract_z
Ni1 Ni 0.000 0.000 0.000
Mo1 Mo 0.000 0.500 0.500
Pt1 Pt 0.500 0.500 0.000
```


## Ni6MoPt (PBE)

Data for a relaxed structure of Ni6MoPt.

CIF file:
```
data_Ni6MoPt
_chemical_formula_sum 'Ni24 Mo4 Pt4'
_cell_length_a 5.273
_cell_length_b 7.140
_cell_length_c 10.263
_cell_angle_alpha 90.00
_cell_angle_beta 90.00
_cell_angle_gamma 90.00
_space_group_name_H-M_alt 'F m m m'
_space_group_IT_number 69
_space_group_name_Hall '-F 2 2'
loop_
_atom_site_label
_atom_site_type_symbol
_atom_site_fract_x
_atom_site_fract_y
_atom_site_fract_z
Ni1 Ni 0.000 0.000 0.247
Ni2 Ni 0.250 0.250 0.130
Mo1 Mo 0.000 0.000 0.000
Pt1 Pt 0.000 0.000 0.500
```


Ordered energy above the lowest structure with this stoichiometry results: 0 53 0; unit meV/atom.
Ordered ΔH_f (0 K) results: -0.1145 -0.1365 -0.0570; unit eV/atom.